1.
# VIrOs2

VIrOs2 after structural relaxation (PBE-GGA, Alexandria).

## Properties
Energy of formation: 1.16 eV/f.u.
Energy relative to the lowest polymorph listed for this composition: 0.508 eV per atom

Cell: 6.1334 6.1334 6.1334 Å, 90.00 90.00 90.00°
With the nearest neighbours (Å) after each atom.
Space group Fm-3m (No. 225)
Unique sites:
1 V 0.0000 0.0000 0.0000 [4 per cell]  8 Os 2.66
2 Ir 0.0000 0.0000 0.5000 [4 per cell]  8 Os 2.66
3 Os 0.2500 0.2500 0.2500 [8 per cell]  4 Ir 2.66, 4 V 2.66


2.
# Mg2Si3

Mg2Si3 after structural relaxation (PBE-GGA, Alexandria).

## Properties
Uncorrected formation energy: 0.125 eV/atom
Energy relative to the lowest polymorph listed for this composition: 0.095 eV per atom

Cell: 5.3853 5.9138 6.1273 Å, 88.36 82.91 84.20°
With the nearest neighbours (Å) after each atom.
Space group P-1 (No. 2)
Unique sites:
1 Mg 0.0098 0.2339 0.0841 [2 per cell]  4 Si 2.68-2.85, 1 Mg 3.00
2 Mg 0.2422 0.6035 0.4630 [2 per cell]  4 Si 2.62-2.93
3 Si 0.1924 0.1003 0.4753 [2 per cell]  3 Si 2.47-2.55
4 Si 0.3875 0.4540 0.8575 [2 per cell]  2 Si 2.35-2.42, 1 Mg 2.62
5 Si 0.4328 0.0493 0.7941 [2 per cell]  3 Si 2.42-2.55


3.
# Sm2MgZn16

Sm2MgZn16 after structural relaxation (PBE-GGA, Alexandria).

## Properties
Energy of formation: -4.79 eV/f.u.

Cell: 9.0616 9.0616 13.3066 Å, 90.00 90.00 120.00°
With the nearest neighbours (Å) after each atom.
Space group R3m (No. 160, hexagonal axes)
Unique sites:
1 Sm 0.0000 0.0000 0.0000 [3 per cell]  18 Zn 3.20-3.49, 1 Mg 3.27
2 Sm 0.0000 0.0000 0.3228 [3 per cell]  10 Zn 3.04-3.21
3 Mg 0.0000 0.0000 0.7545 [3 per cell]  13 Zn 2.70-2.95
4 Zn 0.0000 0.0000 0.5515 [3 per cell]  1 Mg 2.70, 6 Zn 2.70-2.86
5 Zn 0.9998 0.2957 0.6610 [18 per cell]  8 Zn 2.60-2.79
6 Zn 0.0027 0.5014 0.1614 [9 per cell]  9 Zn 2.60-2.70, 1 Mg 2.81
7 Zn 0.0108 0.5054 0.8140 [9 per cell]  9 Zn 2.57-2.86
8 Zn 0.1708 0.3416 0.8427 [9 per cell]  8 Zn 2.57-2.79


4.
# MnZn4Fe

MnZn4Fe after structural relaxation (PBE-GGA, Alexandria).

## Properties
Energy of formation: 0.83 eV/f.u.
Energy relative to the lowest polymorph listed for this composition: 0.118 eV per atom

Cell: 6.9268 6.9268 6.9268 Å, 90.00 90.00 90.00°
With the nearest neighbours (Å) after each atom.
Space group F-43m (No. 216)
Unique sites:
1 Mn 0.0000 0.0000 0.0000 [4 per cell]  12 Zn 2.87, 4 Fe 3.00
2 Zn 0.1249 0.1249 0.3751 [16 per cell]  6 Zn 2.45
3 Fe 0.2500 0.2500 0.7500 [4 per cell]  12 Zn 2.87, 4 Mn 3.00


Calculated volume per entry: 230.73, 192.63, 946.24, 332.35 Å³/cell